Density functional theory data (PBEsol) for a relaxed SiSbRu2 crystal.

Geometry as POSCAR:
```
SiSbRu2
1.0
4.008 -1.484 0.000
4.008 1.484 0.000
-1.211 0.000 5.061
Si Sb Ru
1 1 2
Cartesian
0.000 0.000 0.000
3.403 0.000 2.531
1.159 0.000 3.916
5.647 0.000 1.146
```

Density functional theory data (PBEsol) for a relaxed KZr2Re crystal.

Geometry as POSCAR:
```
KZr2Re
1.0
0.000 3.466 3.466
3.466 0.000 3.466
3.466 3.466 0.000
K Zr Re
1 2 1
Cartesian
0.000 0.000 0.000
1.733 1.733 1.733
3.466 3.466 3.466
5.199 5.199 5.199
```

Density functional theory data (PBEsol) for a relaxed TbH9C5N2O8 crystal.

Geometry as POSCAR:
```
TbH9C5N2O8
1.0
5.644 -3.569 0.000
5.644 3.569 0.000
-2.228 0.000 6.098
Tb H C N O
1 9 5 2 8
Cartesian
0.000 0.000 0.000
3.299 1.035 0.704
3.130 0.849 3.273
2.315 -0.521 2.425
5.929 0.849 2.825
5.761 1.035 5.393
3.721 -0.345 5.055
5.339 -0.345 1.042
6.745 -0.521 3.673
4.530 -2.997 3.049
0.798 1.487 5.820
4.530 3.034 3.049
8.261 1.487 0.278
3.101 -0.864 4.296
5.959 -0.864 1.802
2.800 -0.125 3.253
6.260 -0.125 2.845
4.087 2.439 4.079
4.973 2.439 2.018
1.772 -1.273 0.784
2.740 -2.058 4.464
3.710 -2.391 0.809
6.320 -2.058 1.634
5.349 -2.391 5.288
7.288 -1.273 5.313
```

Number 1: total DFT energy (no corrections) -31.049 eV per formula unit, DOS at the Fermi energy 2.239 states/eV per cell. Number 2: total DFT energy (no corrections) -27.639 eV per formula unit, DOS at the Fermi energy 5.096 states/eV per cell. Number 3: total DFT energy (no corrections) -167.458 eV per formula unit, DOS at the Fermi energy 0.000 states/eV per cell.